# Ba2CrSi

A relaxed Ba2CrSi crystal (GGA-PBE, the Alexandria database).

a b c (Å): 5.761 5.761 5.761
angles (deg): 60.00 60.00 60.00
Last column: magnetic moment on the atom in μB.
Fractional positions:
1 Ba 0.250 0.250 0.250  0.04
2 Ba 0.750 0.750 0.750  0.04
3 Cr 0.500 0.500 0.500  4.12
4 Si 0.000 0.000 0.000  -0.06

Output
Space group: No. 225
Energy above the lowest structure with this stoichiometry in meV/atom: 238.7



# DyY6Ho

A relaxed DyY6Ho crystal (GGA-PBE, the Alexandria database).

a b c (Å): 6.172 6.170 11.256
angles (deg): 79.51 56.80 48.16
Fractional positions:
1 Y 0.375 0.125 0.375
2 Y 0.625 0.875 0.625
3 Y 0.875 0.625 0.875
4 Y 0.125 0.375 0.125
5 Y 0.750 0.250 0.750
6 Y 0.250 0.750 0.250
7 Ho 0.000 0.000 0.000
8 Dy 0.500 0.500 0.500

Output
Space group: No. 12
E in eV per cell: -47.78



Spin magnetization: 1.2140, 0.0000 (μB/atom)